InCSeBr2: relaxed, PBE.

Cell and atoms, written as POSCAR:
```
InCSeBr2
1.0
5.3894 0.0000 0.0000
0.0000 5.3894 0.0000
0.0000 0.0000 5.6550
C Se Br In
1 1 2 1
Direct
0.5000 0.5000 0.5000 C
0.0000 0.0000 0.5000 Se
0.0000 0.5000 0.0000 Br
0.5000 0.0000 0.0000 Br
0.0000 0.0000 0.0000 In
```

**Excess energy over the best structure of this formula in the dataset**: 0.552 eV per atom
**Uncorrected energy**: -12.2 eV for the cell shown
**Uncorrected formation energy**: 1.326 eV/atom

***

CaTm3C: relaxed, PBE.

Cell and atoms, written as POSCAR:
```
CaTm3C
1.0
5.0288 0.0000 0.0000
0.0000 5.0288 0.0000
0.0000 0.0000 5.0288
Ca Tm C
1 3 1
Direct
0.5000 0.5000 0.5000 Ca
0.0000 0.5000 0.0000 Tm
0.0000 0.0000 0.5000 Tm
0.5000 0.0000 0.0000 Tm
0.0000 0.0000 0.0000 C
```

**Uncorrected energy**: -24.8 eV for the cell shown
**Formation energy**: -0.65 kcal/mol of atoms